First-principles (PBE) data for a relaxed structure of As2O3, as listed in Alexandria.

Computed properties:
VASP energy = -6.04 eV per atom
Raw formation energy = -1207 meV per atom
Calculated volume = 379.8 Å³/cell
Total moment = 0.0 μB per formula unit

a b c (Å): 8.3606 4.6760 9.8612
angles (deg): 90.00 99.84 90.00
Atoms (fractional coordinates):
As 0.0621 0.0000 0.1119
As 0.1295 0.2793 0.5488
As 0.3709 0.0232 0.9513
As 0.4345 0.3227 0.3876
As 0.5655 0.8227 0.6124
As 0.6291 0.5232 0.0487
As 0.8705 0.7793 0.4512
As 0.9379 0.5000 0.8881
O 0.0062 0.3683 0.0651
O 0.0692 0.6545 0.5380
O 0.2205 0.2634 0.3919
O 0.2786 0.0130 0.1071
O 0.4308 0.3992 0.9613
O 0.4822 0.4707 0.5636
O 0.5178 0.9707 0.4364
O 0.5692 0.8992 0.0387
O 0.7214 0.5130 0.8929
O 0.7795 0.7634 0.6081
O 0.9308 0.1545 0.4620
O 0.9938 0.8683 0.9349